# Sm2Y4As3N2

An optimized crystal structure of Sm2Y4As3N2 (PBE, the Alexandria database).

Output
- formation energy without anion corrections (eV per atom) = -1.313
- calculated density (g/cm³) = 6.06
- total moment (μB per cell) = 0.0

Structure (extended XYZ):
```
11
Lattice="4.556 0.000 0.000 0.000 4.556 0.000 -2.278 -2.278 11.992" Properties=species:S:1:pos:R:3 pbc="T T T"
Sm 0.000 0.000 7.284
Sm 2.278 2.278 4.708
Y 0.000 2.278 10.076
Y 2.278 0.000 10.076
Y 0.000 2.278 1.916
Y 2.278 0.000 1.916
As 0.000 0.000 0.000
As 0.000 0.000 4.202
As 2.278 2.278 7.790
N 0.000 0.000 9.634
N 2.278 2.278 2.359
```